1.
Crystalline HfAsW at its relaxed geometry, computed with PBE.

## Properties
Total moment ... 0.00 μB/cell
SG ... P1 (1)
Formation energy ... -0.23 eV per atom
Volume ... 107.5 Å³ per cell
Crystal system ... triclinic
DOS at the Fermi energy ... 0.36 states/eV/atom

Cell lengths 3.316, 4.999, 6.774 Å; angles 82.50, 83.01, 75.96 degrees
Fractional positions:
1 W 0.999 0.488 0.178
2 As 0.363 0.658 0.440
3 W 0.349 0.659 0.829
4 As 0.023 0.248 0.804
5 Hf 0.523 0.006 0.095
6 Hf 0.681 0.100 0.512

2.
Crystalline Rb3C at its relaxed geometry, computed with PBE.

## Properties
Total moment ... 7.91 μB/cell
SG ... P6_3/mmc (194)
Relative energy among the computed polymorphs ... 181 meV/atom
Formation energy ... 1.26 eV per atom
Volume ... 873.0 Å³ per cell
Crystal system ... hexagonal
DOS at the Fermi energy ... 0.43 states/eV/atom

Cell lengths 10.579, 10.579, 9.007 Å; angles 90.00, 90.00, 120.00 degrees
Site moments in Bohr magnetons follow the coordinates.
Fractional positions:
1 C 0.000 0.000 0.000  0.82
2 Rb 0.500 0.000 0.000  0.00
3 Rb 0.116 0.884 0.750  0.01
4 C 0.667 0.333 0.750  1.01
5 Rb 0.116 0.232 0.750  0.01
6 C 0.333 0.667 0.250  1.01
7 Rb 0.000 0.500 0.500  0.00
8 Rb 0.000 0.500 0.000  0.00
9 C 0.000 0.000 0.500  0.82
10 Rb 0.500 0.000 0.500  0.00
11 Rb 0.884 0.768 0.250  0.01
12 Rb 0.768 0.884 0.750  0.01
13 Rb 0.232 0.116 0.250  0.01
14 Rb 0.884 0.116 0.250  0.01
15 Rb 0.500 0.500 0.000  0.00
16 Rb 0.500 0.500 0.500  0.00

3.
Crystalline CaYSeBr2 at its relaxed geometry, computed with PBE.

## Properties
Total moment ... 0.30 μB/cell
SG ... P4/mmm (123)
Relative energy among the computed polymorphs ... 0 meV/atom
ΔE_f (raw) ... -6.528 eV per formula unit
Volume ... 169.6 Å³ per cell
Crystal system ... tetragonal
DOS at the Fermi energy ... 0.66 states/eV/atom

Cell lengths 5.538, 5.538, 5.531 Å; angles 90.00, 90.00, 90.00 degrees
Site moments in Bohr magnetons follow the coordinates.
Fractional positions:
1 Ca 0.500 0.500 0.500  0.06
2 Y 0.000 0.000 0.000  0.03
3 Br 0.000 0.500 0.000  0.00
4 Se 0.000 0.000 0.500  0.00
5 Br 0.500 0.000 0.000  0.00

4.
Crystalline AlBS at its relaxed geometry, computed with PBE.

## Properties
Total moment ... 0.00 μB/cell
SG ... P1 (1)
Relative energy among the computed polymorphs ... 369 meV/atom
ΔE_f (raw) ... -0.028 eV per formula unit
Volume ... 95.0 Å³ per cell
Crystal system ... triclinic
DOS at the Fermi energy ... 0.12 states/eV/atom

Cell lengths 3.297, 5.318, 5.951 Å; angles 79.09, 74.34, 72.21 degrees
Fractional positions:
1 Al 0.946 0.153 0.934
2 B 0.298 0.212 0.183
3 B 0.190 0.841 0.713
4 S 0.752 0.631 0.823
5 S 0.287 0.880 0.384
6 Al 0.641 0.472 0.240

5.
Crystalline ScReAs2Br at its relaxed geometry, computed with PBE.

## Properties
Total moment ... 0.84 μB/cell
SG ... P4/mmm (123)
Relative energy among the computed polymorphs ... 0 meV/atom
ΔE_f (raw) ... 1.876 eV per formula unit
Volume ... 121.5 Å³ per cell
Crystal system ... tetragonal
DOS at the Fermi energy ... 0.85 states/eV/atom

Cell lengths 4.762, 4.762, 5.359 Å; angles 90.00, 90.00, 90.00 degrees
Site moments in Bohr magnetons follow the coordinates.
Fractional positions:
1 Sc 0.500 0.500 0.500  0.56
2 As 0.500 0.000 0.000  -0.02
3 Re 0.000 0.000 0.000  0.12
4 As 0.000 0.500 0.000  -0.02
5 Br 0.000 0.000 0.500  -0.01

6.
Crystalline Pr8Dy3 at its relaxed geometry, computed with PBE.

## Properties
Total moment ... 0.00 μB/cell
SG ... R-3 (148)
Relative energy among the computed polymorphs ... 424 meV/atom
Formation energy ... 0.44 eV per atom
Volume ... 395.6 Å³ per cell
Crystal system ... trigonal
DOS at the Fermi energy ... 1.12 states/eV/atom

Cell lengths 7.374, 7.374, 7.374 Å; angles 84.37, 84.37, 84.37 degrees
Fractional positions:
1 Dy 0.500 0.000 0.500
2 Pr 0.692 0.850 0.114
3 Dy 0.000 0.500 0.500
4 Pr 0.308 0.150 0.886
5 Pr 0.150 0.886 0.308
6 Pr 0.886 0.308 0.150
7 Pr 0.850 0.114 0.692
8 Pr 0.114 0.692 0.850
9 Pr 0.388 0.388 0.388
10 Pr 0.612 0.612 0.612
11 Dy 0.500 0.500 0.000

7.
Crystalline La2Cu3 at its relaxed geometry, computed with PBE.

## Properties
Total moment ... 0.00 μB/cell
SG ... R-3m (166)
Formation energy ... -0.13 eV per atom
Volume ... 117.8 Å³ per cell
Crystal system ... trigonal
DOS at the Fermi energy ... 1.06 states/eV/atom

Cell lengths 7.461, 4.403, 4.403 Å; angles 60.00, 107.16, 107.16 degrees
Fractional positions:
1 La 0.241 0.414 0.414
2 Cu 0.495 0.165 0.165
3 Cu 0.000 0.000 0.000
4 La 0.759 0.586 0.586
5 Cu 0.505 0.835 0.835

8.
Crystalline ZnHg5 at its relaxed geometry, computed with PBE.

## Properties
Total moment ... 0.00 μB/cell
SG ... Pmma (51)
Formation energy ... 0.06 eV per atom
Volume ... 301.8 Å³ per cell
Crystal system ... orthorhombic
DOS at the Fermi energy ... 0.23 states/eV/atom

Cell lengths 3.728, 7.832, 10.336 Å; angles 90.00, 90.00, 90.00 degrees
Fractional positions:
1 Hg 0.000 0.555 0.750
2 Hg 0.500 0.869 0.750
3 Hg 0.000 0.000 0.000
4 Hg 0.500 0.324 0.554
5 Hg 0.500 0.676 0.446
6 Hg 0.500 0.676 0.054
7 Hg 0.000 0.445 0.250
8 Hg 0.000 0.000 0.500
9 Zn 0.000 0.168 0.750
10 Zn 0.000 0.832 0.250
11 Hg 0.500 0.131 0.250
12 Hg 0.500 0.324 0.946

9.
Crystalline Sn2Ge2Au at its relaxed geometry, computed with PBE.

## Properties
Total moment ... 0.00 μB/cell
SG ... P4/mbm (127)
Relative energy among the computed polymorphs ... 96 meV/atom
Formation energy ... 0.21 eV per atom
Volume ... 242.8 Å³ per cell
Crystal system ... tetragonal
DOS at the Fermi energy ... 0.53 states/eV/atom

Cell lengths 7.653, 7.653, 4.145 Å; angles 90.00, 90.00, 90.00 degrees
Fractional positions:
1 Ge 0.879 0.379 0.500
2 Sn 0.173 0.327 0.000
3 Ge 0.121 0.621 0.500
4 Ge 0.379 0.121 0.500
5 Sn 0.327 0.827 0.000
6 Au 0.000 0.000 0.000
7 Au 0.500 0.500 0.000
8 Sn 0.673 0.173 0.000
9 Ge 0.621 0.879 0.500
10 Sn 0.827 0.673 0.000

10.
Crystalline HfCdAsBr2 at its relaxed geometry, computed with PBE.

## Properties
Total moment ... 1.54 μB/cell
SG ... P4/mmm (123)
Relative energy among the computed polymorphs ... 544 meV/atom
ΔE_f (raw) ... 0.807 eV per formula unit
Volume ... 159.7 Å³ per cell
Crystal system ... tetragonal
DOS at the Fermi energy ... 0.69 states/eV/atom

Cell lengths 5.120, 6.093, 5.120 Å; angles 90.00, 90.00, 90.00 degrees
Site moments in Bohr magnetons follow the coordinates.
Fractional positions:
1 As 0.500 0.500 0.500  0.80
2 Br 0.000 0.000 0.500  0.02
3 Cd 0.000 0.500 0.000  0.00
4 Br 0.500 0.000 0.000  0.04
5 Hf 0.000 0.000 0.000  -0.21

11.
Crystalline Tm4Sc5Tl2 at its relaxed geometry, computed with PBE.

## Properties
Total moment ... 3.48 μB/cell
SG ... R-3m (166)
Formation energy ... 0.26 eV per atom
Volume ... 325.0 Å³ per cell
Crystal system ... trigonal
DOS at the Fermi energy ... 1.60 states/eV/atom

Cell lengths 4.974, 4.974, 15.439 Å; angles 80.73, 80.73, 60.00 degrees
Site moments in Bohr magnetons follow the coordinates.
Fractional positions:
1 Tm 0.277 0.277 0.169  0.21
2 Tl 0.127 0.127 0.620  -0.01
3 Sc 0.500 0.500 0.500  0.43
4 Tl 0.873 0.873 0.380  -0.01
5 Tm 0.723 0.723 0.831  0.21
6 Tm 0.428 0.428 0.716  0.07
7 Sc 0.198 0.198 0.407  0.21
8 Sc 0.802 0.802 0.593  0.21
9 Tm 0.572 0.572 0.284  0.07
10 Sc 0.649 0.649 0.054  0.47
11 Sc 0.351 0.351 0.946  0.47

12.
Crystalline HfInSbO6 at its relaxed geometry, computed with PBE.

## Properties
Total moment ... 0.00 μB/cell
SG ... P-31c (163)
ΔE_f (raw) ... -18.874 eV per formula unit
Volume ... 230.3 Å³ per cell
Crystal system ... trigonal
DOS at the Fermi energy ... 0.00 states/eV/atom

Cell lengths 5.363, 5.363, 9.246 Å; angles 90.00, 90.00, 120.00 degrees
Fractional positions:
1 O 0.989 0.645 0.367
2 In 0.000 0.000 0.000
3 O 0.645 0.656 0.633
4 O 0.011 0.355 0.633
5 O 0.656 0.011 0.367
6 Hf 0.333 0.667 0.250
7 O 0.355 0.011 0.133
8 O 0.355 0.344 0.367
9 Hf 0.667 0.333 0.750
10 O 0.656 0.645 0.133
11 In 0.000 0.000 0.500
12 O 0.989 0.344 0.133
13 O 0.011 0.656 0.867
14 O 0.344 0.355 0.867
15 Sb 0.333 0.667 0.750
16 O 0.645 0.989 0.867
17 O 0.344 0.989 0.633
18 Sb 0.667 0.333 0.250